(1)
# NdBe13

Crystalline NdBe13 at its relaxed geometry (PBE, Alexandria).

Output
- total magnetization (μB per atom) = 0.0000
- E_tot (eV per cell) = -111.23
- DOS at the Fermi energy (states/eV/f.u.) = 3.33

a = 7.2827 Å, b = 7.2827 Å, c = 7.2827 Å
α = 60.00°, β = 60.00°, γ = 60.00°
Closest atoms and distances in Å follow each position.
Fractional coordinates of all 28 atoms:
Be (0.7114, 0.9366, 0.2886)  10 Be 2.15-2.32
Be (0.0634, 0.7114, 0.2886)  10 Be 2.15-2.32
Be (0.2114, 0.4366, 0.5634)  10 Be 2.15-2.32
Be (0.9366, 0.7114, 0.0634)  10 Be 2.15-2.32
Be (0.0000, 0.0000, 0.0000)  12 Be 2.15
Be (0.2114, 0.5634, 0.7886)  10 Be 2.15-2.32
Be (0.2886, 0.9366, 0.0634)  10 Be 2.15-2.32
Be (0.4366, 0.7886, 0.5634)  10 Be 2.15-2.32
Be (0.0634, 0.2886, 0.9366)  10 Be 2.15-2.32
Be (0.9366, 0.0634, 0.2886)  10 Be 2.15-2.32
Be (0.2114, 0.7886, 0.4366)  10 Be 2.15-2.32
Be (0.7114, 0.2886, 0.0634)  10 Be 2.15-2.32
Be (0.5634, 0.2114, 0.4366)  10 Be 2.15-2.32
Be (0.7114, 0.0634, 0.9366)  10 Be 2.15-2.32
Be (0.0634, 0.9366, 0.7114)  10 Be 2.15-2.32
Be (0.2886, 0.7114, 0.9366)  10 Be 2.15-2.32
Be (0.7886, 0.2114, 0.5634)  10 Be 2.15-2.32
Nd (0.7500, 0.7500, 0.7500)  24 Be 3.04
Be (0.9366, 0.2886, 0.7114)  10 Be 2.15-2.32
Be (0.7886, 0.5634, 0.4366)  10 Be 2.15-2.32
Be (0.5634, 0.4366, 0.7886)  10 Be 2.15-2.32
Be (0.5634, 0.7886, 0.2114)  10 Be 2.15-2.32
Be (0.4366, 0.5634, 0.2114)  10 Be 2.15-2.32
Be (0.4366, 0.2114, 0.7886)  10 Be 2.15-2.32
Be (0.7886, 0.4366, 0.2114)  10 Be 2.15-2.32
Be (0.2886, 0.0634, 0.7114)  10 Be 2.15-2.32
Nd (0.2500, 0.2500, 0.2500)  24 Be 3.04
Be (0.5000, 0.5000, 0.5000)  12 Be 2.15



(2)
# BaTe2W

Crystalline BaTe2W at its relaxed geometry (PBE, Alexandria).

Output
- energy above the most stable polymorph in this dataset (meV per atom) = 472
- total magnetization (μB per atom) = 0.0000
- ΔE_f (raw) (eV/atom) = 0.247
- DOS at the Fermi energy (states/eV/f.u.) = 0.00

a = 5.2816 Å, b = 5.2816 Å, c = 5.2816 Å
α = 60.00°, β = 60.00°, γ = 60.00°
Closest atoms and distances in Å follow each position.
Fractional coordinates of all 4 atoms:
Ba (0.0000, 0.0000, 0.0000)  8 Te 3.23
W (0.5000, 0.5000, 0.5000)  8 Te 3.23
Te (0.2500, 0.2500, 0.2500)  4 Ba 3.23, 4 W 3.23
Te (0.7500, 0.7500, 0.7500)  4 Ba 3.23, 4 W 3.23



(3)
# Ho3NbO6

Crystalline Ho3NbO6 at its relaxed geometry (PBE, Alexandria).

Output
- total magnetization (μB per atom) = 0.2000
- ΔE_f (raw) (eV/atom) = -3.162
- DOS at the Fermi energy (states/eV/f.u.) = 4.35

a = 6.6096 Å, b = 6.6096 Å, c = 6.6096 Å
α = 92.75°, β = 92.75°, γ = 92.75°
Closest atoms and distances in Å follow each position.
Fractional coordinates of all 20 atoms:
O (0.8104, 0.4651, 0.5955)  1 Nb 2.14, 3 Ho 2.28-2.29
O (0.5349, 0.4045, 0.1896)  1 Nb 2.14, 3 Ho 2.28-2.29
Nb (0.0000, 0.0000, 0.0000)  6 O 2.21
Ho (0.5613, 0.0715, 0.2545)  6 O 2.22-2.33
O (0.0676, 0.3116, 0.9062)  1 Nb 2.21, 3 Ho 2.22-2.33
O (0.3116, 0.9062, 0.0676)  1 Nb 2.21, 3 Ho 2.22-2.33
Ho (0.9285, 0.7455, 0.4387)  6 O 2.22-2.33
Ho (0.2545, 0.5613, 0.0715)  6 O 2.22-2.33
O (0.6884, 0.0938, 0.9324)  1 Nb 2.21, 3 Ho 2.22-2.33
O (0.5955, 0.8104, 0.4651)  1 Nb 2.14, 3 Ho 2.28-2.29
O (0.9062, 0.0676, 0.3116)  1 Nb 2.21, 3 Ho 2.22-2.33
Ho (0.4387, 0.9285, 0.7455)  6 O 2.22-2.33
Nb (0.5000, 0.5000, 0.5000)  6 O 2.14
O (0.4651, 0.5955, 0.8104)  1 Nb 2.14, 3 Ho 2.28-2.29
Ho (0.0715, 0.2545, 0.5613)  6 O 2.22-2.33
O (0.1896, 0.5349, 0.4045)  1 Nb 2.14, 3 Ho 2.28-2.29
O (0.0938, 0.9324, 0.6884)  1 Nb 2.21, 3 Ho 2.22-2.33
O (0.9324, 0.6884, 0.0938)  1 Nb 2.21, 3 Ho 2.22-2.33
Ho (0.7455, 0.4387, 0.9285)  6 O 2.22-2.33
O (0.4045, 0.1896, 0.5349)  1 Nb 2.14, 3 Ho 2.28-2.29



(4)
# NbIr3Br

Crystalline NbIr3Br at its relaxed geometry (PBE, Alexandria).

Output
- energy above the most stable polymorph in this dataset (meV per atom) = 0
- total magnetization (μB per atom) = 0.0007
- ΔE_f (raw) (eV/atom) = 1.772
- DOS at the Fermi energy (states/eV/f.u.) = 9.47

a = 4.5838 Å, b = 4.5838 Å, c = 4.5838 Å
α = 90.00°, β = 90.00°, γ = 90.00°
Closest atoms and distances in Å follow each position.
Fractional coordinates of all 5 atoms:
Ir (0.0000, 0.5000, 0.0000)  2 Br 2.29
Ir (0.5000, 0.0000, 0.0000)  2 Br 2.29
Nb (0.5000, 0.5000, 0.5000)  12 Ir 3.24
Br (0.0000, 0.0000, 0.0000)  6 Ir 2.29
Ir (0.0000, 0.0000, 0.5000)  2 Br 2.29



(5)
# LiSmNp4N8

Crystalline LiSmNp4N8 at its relaxed geometry (PBE, Alexandria).

Output
- total magnetization (μB per atom) = 0.5714
- ΔE_f (raw) (eV/atom) = -0.989
- DOS at the Fermi energy (states/eV/f.u.) = 19.39

a = 6.8975 Å, b = 6.8975 Å, c = 6.5063 Å
α = 57.99°, β = 57.99°, γ = 60.00°
Closest atoms and distances in Å follow each position.
Fractional coordinates of all 14 atoms:
N (0.2358, 0.2358, 0.2925)  3 Np 2.25, 1 Sm 2.34
N (0.7592, 0.7592, 0.7225)  4 Np 2.24-2.30
N (0.2421, 0.8082, 0.7076)  2 Np 2.15, 1 Li 2.26, 1 Sm 2.35
N (0.7484, 0.2122, 0.2910)  3 Np 2.21-2.24, 1 Li 2.41
Np (0.0006, 0.0006, 0.5012)  6 N 2.15-2.30
Sm (0.3872, 0.3872, 0.8385)  4 N 2.34-2.35
Np (0.4976, 0.0006, 0.5012)  6 N 2.15-2.30
N (0.2122, 0.7484, 0.2910)  3 Np 2.21-2.24, 1 Li 2.41
Np (0.6143, 0.6143, 0.1570)  4 N 2.24
N (0.8082, 0.2421, 0.7076)  2 Np 2.15, 1 Li 2.26, 1 Sm 2.35
Li (0.0033, 0.0033, 0.9902)  6 N 2.26-2.41
Np (0.0006, 0.4976, 0.5012)  6 N 2.15-2.30
N (0.7484, 0.7484, 0.2910)  3 Np 2.21-2.24, 1 Li 2.41
N (0.2421, 0.2421, 0.7076)  2 Np 2.15, 1 Li 2.26, 1 Sm 2.35



(6)
# CuMoH2

Crystalline CuMoH2 at its relaxed geometry (PBE, Alexandria).

Output
- energy above the most stable polymorph in this dataset (meV per atom) = 61
- total magnetization (μB per atom) = 0.0000
- DOS at the Fermi energy (states/eV/f.u.) = 0.41

a = 4.2510 Å, b = 4.2510 Å, c = 4.9327 Å
α = 64.48°, β = 64.48°, γ = 90.00°
Closest atoms and distances in Å follow each position.
Fractional coordinates of all 8 atoms:
H (0.8750, 0.8545, 0.7500)  2 Cu 1.74, 2 Mo 1.85
H (0.1455, 0.6250, 0.2500)  2 Cu 1.74, 2 Mo 1.85
H (0.3750, 0.3955, 0.7500)  2 Cu 1.74, 2 Mo 1.85
H (0.6045, 0.1250, 0.2500)  2 Cu 1.74, 2 Mo 1.85
Cu (0.5000, 0.5000, 0.0000)  4 H 1.74
Mo (0.7500, 0.2500, 0.5000)  4 H 1.85
Mo (0.0000, 0.0000, 0.0000)  4 H 1.85
Cu (0.2500, 0.7500, 0.5000)  4 H 1.74



(7)
# Tb5Dy2HoIn

Crystalline Tb5Dy2HoIn at its relaxed geometry (PBE, Alexandria).

Output
- total magnetization (μB per atom) = 0.0000
- E_tot (eV per cell) = -79.44
- DOS at the Fermi energy (states/eV/f.u.) = 12.50

a = 5.3658 Å, b = 10.3946 Å, c = 10.5256 Å
α = 90.00°, β = 90.00°, γ = 104.96°
Closest atoms and distances in Å follow each position.
Fractional coordinates of all 18 atoms:
Tb (0.7104, 0.4208, 0.2079)  1 In 3.12, 2 Tb 3.29, 2 Ho 3.41, 3 Dy 3.43-3.49
In (0.4042, 0.8085, 0.5076)  6 Tb 3.12-3.26, 2 Ho 3.48
Tb (0.2896, 0.5792, 0.7079)  1 In 3.12, 2 Tb 3.29, 2 Ho 3.41, 3 Dy 3.43-3.49
Tb (0.7110, 0.4219, 0.8090)  1 In 3.12, 2 Tb 3.29, 2 Ho 3.41, 3 Dy 3.43-3.48
Dy (0.1161, 0.2321, 0.7166)  9 Tb 3.39-3.71, 1 Ho 3.57
Tb (0.5001, 0.0002, 0.2579)  2 In 3.26, 2 Tb 3.54, 4 Dy 3.58
In (0.5958, 0.1915, 0.0076)  6 Tb 3.12-3.26, 2 Ho 3.48
Tb (0.4999, 0.9998, 0.7579)  2 In 3.26, 2 Tb 3.54, 4 Dy 3.58
Tb (0.2890, 0.5781, 0.3090)  1 In 3.12, 2 Tb 3.29, 2 Ho 3.41, 3 Dy 3.43-3.48
Tb (0.0127, 0.0254, 0.0083)  2 In 3.16, 2 Dy 3.39
Dy (0.8842, 0.7684, 0.8000)  9 Tb 3.39-3.70, 1 Ho 3.57
Ho (0.7936, 0.5872, 0.5084)  7 Tb 3.41-3.58, 2 In 3.48, 2 Dy 3.57
Tb (0.6177, 0.2354, 0.5083)  4 Dy 3.46-3.47, 1 Ho 3.53, 6 Tb 3.54-3.75
Ho (0.2064, 0.4128, 0.0084)  7 Tb 3.41-3.58, 2 In 3.48, 2 Dy 3.57
Dy (0.8839, 0.7679, 0.2166)  9 Tb 3.39-3.71, 1 Ho 3.57
Tb (0.9873, 0.9746, 0.5083)  2 In 3.16, 2 Dy 3.39
Tb (0.3823, 0.7646, 0.0083)  4 Dy 3.46-3.47, 1 Ho 3.53, 6 Tb 3.54-3.75
Dy (0.1158, 0.2316, 0.3000)  9 Tb 3.39-3.70, 1 Ho 3.57



(8)
# Al8Fe2Co

Crystalline Al8Fe2Co at its relaxed geometry (PBE, Alexandria).

Output
- total magnetization (μB per atom) = 0.0001
- E_tot (eV per cell) = -57.05
- DOS at the Fermi energy (states/eV/f.u.) = 5.09

a = 3.9569 Å, b = 7.3724 Å, c = 6.7184 Å
α = 123.28°, β = 107.13°, γ = 90.00°
Closest atoms and distances in Å follow each position.
Fractional coordinates of all 11 atoms:
Al (0.3369, 0.5554, 0.6737)  3 Fe 2.49-2.59, 5 Al 2.64-2.73, 1 Co 2.69
Al (0.6631, 0.4446, 0.3263)  3 Fe 2.49-2.59, 5 Al 2.64-2.73, 1 Co 2.69
Al (0.0000, 0.3288, 0.0000)  2 Fe 2.51, 5 Al 2.52-2.64
Al (0.3369, 0.1184, 0.6737)  3 Fe 2.49-2.59, 5 Al 2.64-2.73, 1 Co 2.69
Al (0.6631, 0.8816, 0.3263)  3 Fe 2.49-2.59, 5 Al 2.64-2.73, 1 Co 2.69
Al (0.1377, 0.1377, 0.2753)  2 Co 2.45, 2 Fe 2.57, 2 Al 2.64
Al (0.8623, 0.8623, 0.7247)  2 Co 2.45, 2 Fe 2.57, 2 Al 2.64
Fe (0.2061, 0.7061, 0.4122)  10 Al 2.49-2.59
Co (0.5000, 0.0000, 0.0000)  8 Al 2.45-2.69
Al (0.0000, 0.6712, 0.0000)  2 Fe 2.51, 5 Al 2.52-2.64
Fe (0.7939, 0.2939, 0.5878)  10 Al 2.49-2.59



(9)
# Rb2GaBiBr6

Crystalline Rb2GaBiBr6 at its relaxed geometry (PBE, Alexandria).

Output
- energy above the most stable polymorph in this dataset (meV per atom) = 24
- total magnetization (μB per atom) = 0.0000
- ΔE_f (raw) (eV/atom) = -1.122
- DOS at the Fermi energy (states/eV/f.u.) = 0.00

a = 8.2206 Å, b = 8.2206 Å, c = 8.2189 Å
α = 59.99°, β = 59.99°, γ = 90.00°
Closest atoms and distances in Å follow each position.
Fractional coordinates of all 10 atoms:
Br (0.7524, 0.7524, 0.4952)  1 Bi 2.88, 1 Ga 2.93
Rb (0.2500, 0.7500, 0.5000)  12 Br 4.11
Bi (0.0000, 0.0000, 0.0000)  6 Br 2.88
Br (0.2475, 0.7525, 0.0000)  1 Bi 2.88, 1 Ga 2.94
Rb (0.7500, 0.2500, 0.5000)  12 Br 4.11
Br (0.7525, 0.7525, 0.0000)  1 Bi 2.88, 1 Ga 2.94
Ga (0.5000, 0.5000, 0.0000)  6 Br 2.93-2.94
Br (0.2475, 0.2475, 0.0000)  1 Bi 2.88, 1 Ga 2.94
Br (0.7525, 0.2475, 0.0000)  1 Bi 2.88, 1 Ga 2.94
Br (0.2476, 0.2476, 0.5048)  1 Bi 2.88, 1 Ga 2.93



(10)
# Rb2SbS4

Crystalline Rb2SbS4 at its relaxed geometry (PBE, Alexandria).

Output
- energy above the most stable polymorph in this dataset (meV per atom) = 8
- total magnetization (μB per atom) = 0.0000
- ΔE_f (raw) (eV/atom) = -0.521
- DOS at the Fermi energy (states/eV/f.u.) = 2.90

a = 5.8477 Å, b = 7.5042 Å, c = 12.6750 Å
α = 96.28°, β = 90.00°, γ = 90.00°
Closest atoms and distances in Å follow each position.
Fractional coordinates of all 14 atoms:
Rb (0.7500, 0.7895, 0.5554)  5 S 3.41-3.51
S (0.2500, 0.7571, 0.9442)  1 Sb 2.36
Rb (0.2500, 0.2105, 0.4446)  5 S 3.41-3.51
S (0.0692, 0.3919, 0.6885)  1 S 2.11
S (0.7500, 0.2429, 0.0558)  1 Sb 2.36
Rb (0.7500, 0.7687, 0.0808)  6 S 3.39-3.61
S (0.5692, 0.6081, 0.3115)  1 S 2.11
S (0.9308, 0.6081, 0.3115)  1 S 2.11
S (0.2500, 0.9792, 0.6710)  1 Sb 2.43
Sb (0.7500, 0.2948, 0.2427)  4 S 2.36-2.64
S (0.4308, 0.3919, 0.6885)  1 S 2.11
Sb (0.2500, 0.7052, 0.7573)  4 S 2.36-2.64
Rb (0.2500, 0.2313, 0.9192)  6 S 3.39-3.61
S (0.7500, 0.0208, 0.3290)  1 Sb 2.43



(11)
# VReCl2

Crystalline VReCl2 at its relaxed geometry (PBE, Alexandria).

Output
- energy above the most stable polymorph in this dataset (meV per atom) = 0
- total magnetization (μB per atom) = 0.2146
- ΔE_f (raw) (eV/atom) = 0.203
- DOS at the Fermi energy (states/eV/f.u.) = 4.71

a = 8.2131 Å, b = 8.2131 Å, c = 8.2131 Å
α = 20.75°, β = 20.75°, γ = 20.75°
Closest atoms and distances in Å follow each position.
Fractional coordinates of all 4 atoms:
Re (0.0000, 0.0000, 0.0000)  2 Cl 2.34
Cl (0.9028, 0.9028, 0.9028)  1 Re 2.34, 3 V 2.39
V (0.5000, 0.5000, 0.5000)  6 Cl 2.39
Cl (0.0972, 0.0972, 0.0972)  1 Re 2.34, 3 V 2.39



(12)
# MoOs2

Crystalline MoOs2 at its relaxed geometry (PBE, Alexandria).

Output
- energy above the most stable polymorph in this dataset (meV per atom) = 20
- total magnetization (μB per atom) = 0.0000
- DOS at the Fermi energy (states/eV/f.u.) = 2.75

a = 2.7804 Å, b = 7.3387 Å, c = 4.4295 Å
α = 90.00°, β = 90.00°, γ = 79.08°
Closest atoms and distances in Å follow each position.
Fractional coordinates of all 6 atoms:
Os (0.0029, 0.9941, 0.0000)  6 Mo 2.72-2.79, 6 Os 2.73-2.78
Os (0.6663, 0.6674, 0.0000)  8 Os 2.73-2.78, 4 Mo 2.74-2.80
Os (0.8859, 0.2281, 0.5000)  6 Mo 2.72-2.79, 6 Os 2.73-2.78
Mo (0.3348, 0.3303, 0.0000)  10 Os 2.72-2.80, 2 Mo 2.78
Os (0.2226, 0.5549, 0.5000)  8 Os 2.73-2.78, 4 Mo 2.74-2.80
Mo (0.5541, 0.8919, 0.5000)  10 Os 2.72-2.80, 2 Mo 2.78